MgHg3 SCAN PBEsol geometry; SG = No. 25; DOS at the Fermi energy = 0.33 states/eV per atom; uncorrected energy = -209.9 eV/cell; V = 87.56 Å³/cell
1.0
3.4017 0.0000 0.0000
0.0000 4.9107 0.0000
0.0000 0.0000 5.2420
Hg Mg
3 1
direct
0.0000 0.0000 0.0043
0.5000 0.5000 0.8347
0.5000 0.0000 0.4911
0.0000 0.5000 0.3365